The following is a PBE-GGA calculation of crystalline Pm2AsAu at its relaxed geometry, from the Alexandria database.

As for the excess energy over the best structure of this formula in the dataset: 0.69 eV per formula unit. The value obtained for the density of states at the Fermi level is 0.67 states/eV/atom. The total magnetization is 0.00 μB per cell. The calculated formation energy is -0.96 eV per atom.

The space group is P4/mmm (No. 123) and the conventional cell measures 3.7391, 3.7391 and 7.0685 Å, with angles of 90.00, 90.00 and 90.00 degrees. The distinct sites, in fractional coordinates, are Pm at (0.0000, 0.0000, 0.2394), As at (0.5000, 0.5000, 0.0000) and Au at (0.5000, 0.5000, 0.5000).

***

The following is a PBE-GGA calculation of crystalline PmAs2Au4 at its relaxed geometry, from the Alexandria database.

The value obtained for the density of states at the Fermi level is 0.37 states/eV/atom. The total magnetization is 0.00 μB per cell. The calculated formation energy is -0.35 eV per atom.

The space group is P4_2/mnm (No. 136) and the conventional cell measures 8.0527, 8.0527 and 4.4361 Å, with angles of 90.00, 90.00 and 90.00 degrees. The distinct sites, in fractional coordinates, are Pm at (0.0000, 0.0000, 0.0000), As at (0.2163, 0.2163, 0.5000) and Au at (0.0852, 0.6640, 0.5000).

***

The following is a PBE-GGA calculation of crystalline PmAsAu4 at its relaxed geometry, from the Alexandria database.

The value obtained for the density of states at the Fermi level is 0.23 states/eV/atom. The total magnetization is 0.00 μB per cell. The calculated formation energy is -0.39 eV per atom.

The space group is F-43m (No. 216) and the conventional cell measures 7.9479, 7.9479 and 7.9479 Å, with angles of 90.00, 90.00 and 90.00 degrees. The distinct sites, in fractional coordinates, are Pm at (0.0000, 0.0000, 0.0000), As at (0.2500, 0.2500, 0.7500) and Au at (0.1249, 0.1249, 0.3751).

***

The following is a PBE-GGA calculation of crystalline Pm2AsAu at its relaxed geometry, from the Alexandria database.

As for the excess energy over the best structure of this formula in the dataset: 0.34 eV per formula unit. The value obtained for the density of states at the Fermi level is 1.21 states/eV/atom. The total magnetization is 0.00 μB per cell. The calculated formation energy is -1.05 eV per atom.

The space group is R-3m (No. 166, hexagonal axes) and the conventional cell measures 4.2083, 4.2083 and 21.6678 Å, with angles of 90.00, 90.00 and 120.00 degrees. The distinct sites, in fractional coordinates, are Pm at (0.0000, 0.0000, 0.2452), As at (0.0000, 0.0000, 0.5000) and Au at (0.0000, 0.0000, 0.0000).

***

The following is a PBE-GGA calculation of crystalline Pm2AsAu at its relaxed geometry, from the Alexandria database.

As for the excess energy over the best structure of this formula in the dataset: 0.31 eV per formula unit. The value obtained for the density of states at the Fermi level is 0.48 states/eV/atom. The total magnetization is 0.00 μB per cell. The calculated formation energy is -1.06 eV per atom.

The space group is R3m (No. 160, hexagonal axes) and the conventional cell measures 4.1460, 4.1460 and 22.2228 Å, with angles of 90.00, 90.00 and 120.00 degrees. The distinct sites, in fractional coordinates, are Pm at (0.0000, 0.0000, 0.0000), Pm at (0.0000, 0.0000, 0.1781), As at (0.0000, 0.0000, 0.5886) and Au at (0.0000, 0.0000, 0.4221).

***

The following is a PBE-GGA calculation of crystalline PmAs3Au3 at its relaxed geometry, from the Alexandria database.

The value obtained for the density of states at the Fermi level is 0.30 states/eV/atom. The total magnetization is 0.00 μB per cell. The calculated formation energy is -0.01 eV per atom.

The space group is Pm-3n (No. 223) and the conventional cell measures 7.1099, 7.1099 and 7.1099 Å, with angles of 90.00, 90.00 and 90.00 degrees. The distinct sites, in fractional coordinates, are Pm at (0.0000, 0.0000, 0.0000), As at (0.0000, 0.2500, 0.5000) and Au at (0.0000, 0.5000, 0.2500).